Compound: Gd2ZrN3
Source: the Open Quantum Materials Database
Functional: PBE
Structure: optimized geometry

```
Gd2ZrN3
1.0
3.396 0.000 0.000
-1.698 2.941 0.000
0.000 0.000 8.416
Gd Zr N
2 1 3
Cartesian
0.000 1.961 2.776
1.698 0.980 5.640
0.000 0.000 0.000
0.000 0.000 4.208
0.000 1.961 7.162
1.698 0.980 1.253
```

## Properties
Electronic total energy: -52.80 eV for the cell shown
ρ: 8.8 g cm⁻³
Total magnetic moment: 0.00 μB/f.u.

Compound: SmSiB4
Source: the Open Quantum Materials Database
Functional: PBE
Structure: optimized geometry

```
SmSiB4
1.0
-1.598 2.554 4.141
1.598 -2.554 4.141
1.598 2.554 -4.141
Sm Si B
1 1 4
Cartesian
0.000 0.000 0.000
0.000 0.000 4.141
1.598 -0.903 1.964
1.598 0.903 1.964
0.000 1.651 2.177
0.000 3.457 2.177
```

## Properties
ΔE to the lowest computed polymorph: 0.000 eV/f.u.
ρ: 5.4 g cm⁻³
Total magnetic moment: 0.00 μB/f.u.